1.
A plane-wave DFT calculation with PBE-GGA was carried out for a relaxed structure of Ca2TlZn2.

Calculated values
Space-group type = P4/mbm, No. 127
Formation energy from the elements = -1.4 eV per formula unit
E = -2.056 eV per atom

Lattice parameters (Å, degrees): 7.7503 7.7503 4.2306 90.00 90.00 90.00
Fractional coordinates of all 10 atoms:
Ca1 0.1789 0.3211 0.0000
Ca2 0.3211 0.8211 0.0000
Ca3 0.6789 0.1789 0.0000
Ca4 0.8211 0.6789 0.0000
Tl1 0.0000 0.0000 0.5000
Tl2 0.5000 0.5000 0.5000
Zn1 0.1162 0.6162 0.5000
Zn2 0.3838 0.1162 0.5000
Zn3 0.6162 0.8838 0.5000
Zn4 0.8838 0.3838 0.5000

2.
A plane-wave DFT calculation with PBE-GGA was carried out for a relaxed structure of Ca3Tl2Zn.

Calculated values
Energy above the lowest structure with this stoichiometry = 7.6 meV per atom
Space-group type = Cmmm, No. 65
Formation energy from the elements = -2.2 eV per formula unit
E = -2.369 eV per atom

Lattice parameters (Å, degrees): 8.5198 8.5198 3.8555 90.00 90.00 143.08
Fractional coordinates of all 6 atoms:
Ca1 0.0000 0.0000 0.0000
Ca2 0.3400 0.6600 0.0000
Ca3 0.6600 0.3400 0.0000
Tl1 0.1689 0.8311 0.5000
Tl2 0.8311 0.1689 0.5000
Zn1 0.5000 0.5000 0.5000